[1]
First-principles (PBE) data for Cr2PPb after structural relaxation, as listed in Alexandria via LeMat-Bulk.

## Properties
**V**: 17.7 A^3/atom
**Mass density**: 8.04 g/cm3
**M_tot**: 4.80 μB/f.u.
**Calculated formation energy**: 2.53 kcal/mol of atoms
**Energy above the most stable polymorph in this dataset**: 15.5 meV per atom
**Space-group type**: No. 160

a = 3.498 Å, b = 3.498 Å, c = 6.971 Å
α = 75.47°, β = 75.47°, γ = 59.97°
Last column: magnetic moment on the atom in μB.
Fractional coordinates of all 4 atoms:
Cr 0.028 0.028 0.918  2.40
Cr 0.805 0.805 0.584  2.40
P 0.418 0.418 0.748  -0.16
Pb 0.249 0.249 0.251  -0.04

[2]
First-principles (PBE) data for Cr2PPb after structural relaxation, as listed in Alexandria via LeMat-Bulk.

## Properties
**V**: 16.9 A^3/atom
**Mass density**: 8.40 g/cm3
**M_tot**: 5.21 μB/f.u.
**Calculated formation energy**: 14.18 kcal/mol of atoms
**Energy above the most stable polymorph in this dataset**: 520.4 meV per atom
**Space-group type**: No. 12

a = 4.679 Å, b = 4.679 Å, c = 3.198 Å
α = 82.57°, β = 82.57°, γ = 99.59°
Last column: magnetic moment on the atom in μB.
Fractional coordinates of all 4 atoms:
Cr 0.000 0.000 0.000  2.58
Cr 0.500 0.500 0.000  2.58
P 0.500 0.000 0.500  -0.13
Pb 0.000 0.500 0.500  -0.12

[3]
First-principles (PBE) data for Cr3PPb after structural relaxation, as listed in Alexandria via LeMat-Bulk.

## Properties
**V**: 26.8 A^3/atom
**Mass density**: 4.88 g/cm3
**M_tot**: 11.13 μB/f.u.
**Calculated formation energy**: 37.68 kcal/mol of atoms
**Energy above the most stable polymorph in this dataset**: 1251.5 meV per atom
**Space-group type**: No. 221

a = 5.119 Å, b = 5.119 Å, c = 5.119 Å
α = 90.00°, β = 90.00°, γ = 90.00°
Last column: magnetic moment on the atom in μB.
Fractional coordinates of all 5 atoms:
Pb 0.000 0.000 0.000  -0.22
Cr 0.000 0.500 0.000  3.71
Cr 0.000 0.000 0.500  3.92
Cr 0.500 0.000 0.000  3.56
P 0.500 0.500 0.500  -0.49

[4]
First-principles (PBE) data for CrP2Pb after structural relaxation, as listed in Alexandria via LeMat-Bulk.

## Properties
**V**: 18.0 A^3/atom
**Mass density**: 7.42 g/cm3
**M_tot**: 0.00 μB/f.u.
**Calculated formation energy**: 5.66 kcal/mol of atoms
**Space-group type**: No. 38

a = 3.848 Å, b = 3.261 Å, c = 5.955 Å
α = 74.16°, β = 90.00°, γ = 90.00°
Fractional coordinates of all 4 atoms:
Cr 0.500 0.906 0.812
P 0.000 0.790 0.047
P 0.500 0.266 0.094
Pb 0.000 0.538 0.548

[5]
First-principles (PBE) data for CrPPb2 after structural relaxation, as listed in Alexandria via LeMat-Bulk.

## Properties
**V**: 23.4 A^3/atom
**Mass density**: 8.81 g/cm3
**M_tot**: 4.02 μB/f.u.
**Calculated formation energy**: 12.83 kcal/mol of atoms
**Space-group type**: No. 139

a = 5.760 Å, b = 5.760 Å, c = 5.760 Å
α = 135.13°, β = 135.13°, γ = 65.33°
Last column: magnetic moment on the atom in μB.
Fractional coordinates of all 4 atoms:
Cr 0.250 0.750 0.500  3.80
P 0.750 0.250 0.500  -0.09
Pb 0.000 0.000 0.000  -0.02
Pb 0.500 0.500 0.000  -0.02

[6]
First-principles (PBE) data for CrP2Pb after structural relaxation, as listed in Alexandria via LeMat-Bulk.

## Properties
**V**: 19.0 A^3/atom
**Mass density**: 7.00 g/cm3
**M_tot**: 3.58 μB/f.u.
**Calculated formation energy**: 12.83 kcal/mol of atoms
**Space-group type**: No. 123

a = 3.386 Å, b = 4.743 Å, c = 4.743 Å
α = 90.00°, β = 90.00°, γ = 90.00°
Last column: magnetic moment on the atom in μB.
Fractional coordinates of all 4 atoms:
Cr 0.500 0.000 0.500  3.55
P 0.000 0.000 0.000  -0.10
P 0.000 0.500 0.500  -0.10
Pb 0.500 0.500 0.000  0.00

[7]
First-principles (PBE) data for Cr2P2Pb after structural relaxation, as listed in Alexandria via LeMat-Bulk.

## Properties
**V**: 15.4 A^3/atom
**Mass density**: 8.07 g/cm3
**M_tot**: 2.38 μB/f.u.
**Calculated formation energy**: 3.74 kcal/mol of atoms
**Energy above the most stable polymorph in this dataset**: 94.4 meV per atom
**Space-group type**: No. 127

a = 7.166 Å, b = 7.166 Å, c = 2.989 Å
α = 90.00°, β = 90.00°, γ = 90.00°
Last column: magnetic moment on the atom in μB.
Fractional coordinates of all 10 atoms:
Pb 0.000 0.000 0.000  -0.05
Pb 0.500 0.500 0.000  -0.05
Cr 0.364 0.864 0.000  1.33
Cr 0.864 0.636 0.000  1.30
Cr 0.636 0.136 0.000  1.33
Cr 0.136 0.364 0.000  1.30
P 0.133 0.633 0.500  -0.10
P 0.633 0.867 0.500  -0.10
P 0.867 0.367 0.500  -0.10
P 0.367 0.133 0.500  -0.10

[8]
First-principles (PBE) data for Cr2PPb after structural relaxation, as listed in Alexandria via LeMat-Bulk.

## Properties
**V**: 16.6 A^3/atom
**Mass density**: 8.55 g/cm3
**M_tot**: 2.75 μB/f.u.
**Calculated formation energy**: 3.23 kcal/mol of atoms
**Energy above the most stable polymorph in this dataset**: 45.6 meV per atom
**Space-group type**: No. 44

a = 7.047 Å, b = 7.047 Å, c = 7.047 Å
α = 153.30°, β = 154.97°, γ = 36.92°
Last column: magnetic moment on the atom in μB.
Fractional coordinates of all 4 atoms:
Cr 0.988 0.988 0.000  0.46
Cr 0.663 0.163 0.500  2.22
P 0.542 0.542 0.000  -0.07
Pb 0.307 0.807 0.500  -0.05

[9]
First-principles (PBE) data for Cr2P2Pb after structural relaxation, as listed in Alexandria via LeMat-Bulk.

## Properties
**V**: 14.9 A^3/atom
**Mass density**: 8.34 g/cm3
**M_tot**: 0.05 μB/f.u.
**Calculated formation energy**: 1.56 kcal/mol of atoms
**Energy above the most stable polymorph in this dataset**: 0.0 meV per atom
**Space-group type**: No. 139

a = 3.472 Å, b = 3.472 Å, c = 6.635 Å
α = 74.83°, β = 74.83°, γ = 90.00°
Fractional coordinates of all 5 atoms:
Pb 0.000 0.000 0.000
Cr 0.376 0.376 0.247
Cr 0.624 0.624 0.753
P 0.750 0.250 0.500
P 0.250 0.750 0.500

[10]
First-principles (PBE) data for Cr2PPb after structural relaxation, as listed in Alexandria via LeMat-Bulk.

## Properties
**V**: 18.3 A^3/atom
**Mass density**: 7.77 g/cm3
**M_tot**: 7.26 μB/f.u.
**Calculated formation energy**: 13.95 kcal/mol of atoms
**Energy above the most stable polymorph in this dataset**: 510.5 meV per atom
**Space-group type**: No. 65

a = 4.663 Å, b = 4.663 Å, c = 3.395 Å
α = 90.00°, β = 90.00°, γ = 98.02°
Last column: magnetic moment on the atom in μB.
Fractional coordinates of all 4 atoms:
Cr 0.000 0.000 0.000  3.46
Cr 0.500 0.500 0.000  3.46
P 0.500 0.000 0.500  -0.16
Pb 0.000 0.500 0.500  -0.09

[11]
First-principles (PBE) data for Cr2PPb after structural relaxation, as listed in Alexandria via LeMat-Bulk.

## Properties
**V**: 18.5 A^3/atom
**Mass density**: 7.67 g/cm3
**M_tot**: 5.58 μB/f.u.
**Calculated formation energy**: 12.23 kcal/mol of atoms
**Energy above the most stable polymorph in this dataset**: 435.8 meV per atom
**Space-group type**: No. 10

a = 3.760 Å, b = 6.484 Å, c = 5.294 Å
α = 35.03°, β = 90.00°, γ = 90.00°
Last column: magnetic moment on the atom in μB.
Fractional coordinates of all 4 atoms:
Cr 0.000 0.000 0.000  3.00
Cr 0.500 0.500 0.000  2.74
P 0.500 0.500 0.500  -0.19
Pb 0.000 0.000 0.500  -0.18

[12]
First-principles (PBE) data for CrP2Pb after structural relaxation, as listed in Alexandria via LeMat-Bulk.

## Properties
**V**: 20.0 A^3/atom
**Mass density**: 6.66 g/cm3
**M_tot**: 3.22 μB/f.u.
**Calculated formation energy**: 6.75 kcal/mol of atoms
**Space-group type**: No. 123

a = 3.846 Å, b = 6.644 Å, c = 5.427 Å
α = 35.27°, β = 90.00°, γ = 90.00°
Last column: magnetic moment on the atom in μB.
Fractional coordinates of all 4 atoms:
Cr 0.000 0.000 0.500  3.31
P 0.000 0.000 0.000  -0.09
P 0.500 0.500 0.000  -0.16
Pb 0.500 0.500 0.500  0.01